Rb7AuO2: optimized geometry, GGA-PBE.

a = 10.103 Å, b = 14.250 Å, c = 5.594 Å
α = 90.00°, β = 90.00°, γ = 90.00°
Space group Cmmm (No. 65)
Unique sites:
Rb (0.000, 0.000, 0.000) (multiplicity 2)
Rb (0.000, 0.201, 0.500) (multiplicity 4)
Rb (0.175, 0.359, 0.000) (multiplicity 8)
Au (0.000, 0.500, 0.500) (multiplicity 2)
O (0.000, 0.209, 0.000) (multiplicity 4)

Summary:
- M_tot (μB per atom) = 0.000
- formation energy from raw total energies (eV/atom) = -0.5361